# ZrV3O9, optimized geometry, DFT PBE with a Hubbard U
data_ZrV3O9
_symmetry_space_group_name_H-M 'C 1 c 1'
_symmetry_Int_Tables_number 9
_cell_length_a 15.0040
_cell_length_b 7.2944
_cell_length_c 10.7482
_cell_angle_alpha 90.00
_cell_angle_beta 126.77
_cell_angle_gamma 90.00
loop_
_symmetry_equiv_pos_as_xyz
'x,y,z'
'x,-y,z+1/2'
'x+1/2,y+1/2,z'
'x+1/2,-y+1/2,z+1/2'
loop_
_atom_site_label
_atom_site_fract_x
_atom_site_fract_y
_atom_site_fract_z
Zr1 0.0000 0.2433 0.0000
V1 0.1279 0.4057 0.8182
V2 0.2542 0.0438 0.7554
V3 0.3625 0.3979 0.6722
O1 0.0290 0.3481 0.8472
O2 0.0885 0.4532 0.1613
O3 0.1434 0.0789 0.1046
O4 0.2048 0.1958 0.8249
O5 0.2454 0.4910 0.5051
O6 0.3220 0.1725 0.6927
O7 0.3507 0.1052 0.3969
O8 0.4063 0.4704 0.3313
O9 0.4654 0.3767 0.6485
# total DFT energy (no corrections) = -8.010 eV per atom
# total moment = 4.0 μB/cell